No. 1
MgScTl4 | GGA-PBE | relaxed

abc: 6.239 6.239 6.239
angles: 60.00 60.00 60.00
Atoms (fractional coordinates):
1 Mg 0.750 0.750 0.750
2 Sc 0.000 0.000 0.000
3 Tl 0.875 0.375 0.375
4 Tl 0.375 0.375 0.875
5 Tl 0.375 0.875 0.375
6 Tl 0.375 0.375 0.375

The formation energy comes out at 0.251 eV per atom. As for the total moment: 0.01 μB per cell.

***

No. 2
MgScTl2 | GGA-PBE | relaxed

abc: 9.889 9.889 9.889
angles: 20.03 20.03 20.03
Atoms (fractional coordinates):
1 Sc 0.750 0.750 0.750
2 Tl 0.999 0.999 0.999
3 Tl 0.501 0.501 0.501
4 Mg 0.250 0.250 0.250

The formation energy comes out at -0.087 eV per atom. As for the total moment: 0.13 μB per cell.